Below is an optimized crystal structure of TiVO4, with properties calculated at the PBE with a Hubbard U level.

## Properties
Uncorrected energy: -8.35 eV/atom
Space group: Pm (6)

Cell lengths 3.7268, 19.4466, 3.8711 Å; angles 90.00, 90.00, 90.24 degrees
Closest atoms and distances in Å follow each position.
Fractional coordinates of all 24 atoms:
Ti 0.0063 0.3788 0.5001  5 O 1.91-1.97
Ti 0.4916 0.6288 0.0000  6 O 1.91-2.14
Ti 0.0143 0.8788 0.5000  6 O 1.91-2.14
Ti 0.5116 0.1288 0.0000  5 O 1.91-1.97
V 0.9633 0.4978 0.0001  5 O 1.80-2.02
V 0.5366 0.7478 0.5000  5 O 1.80-2.02
V 0.9743 0.9978 0.9999  5 O 1.80-2.02
V 0.4691 0.2478 0.5000  5 O 1.80-2.02
O 0.0002 0.4780 0.5001  1 Ti 1.93, 2 V 1.98
O 0.4987 0.7279 0.0000  1 Ti 1.93, 2 V 1.98
O 0.0112 0.9780 0.5000  1 Ti 1.93, 2 V 1.98
O 0.5059 0.2280 0.0000  1 Ti 1.93, 2 V 1.98
O 0.9991 0.2689 0.5000  2 V 1.80-2.02
O 0.4934 0.5188 0.0001  2 V 1.80-2.02
O 0.0074 0.7689 0.5000  2 V 1.80-2.02
O 0.5044 0.0189 0.0000  2 V 1.80-2.02
O 0.5013 0.6483 0.5000  1 V 1.94, 2 Ti 1.97
O 0.0053 0.8984 0.0000  1 V 1.94, 2 Ti 1.97
O 0.5008 0.1484 0.5000  1 V 1.94, 2 Ti 1.97
O 0.9955 0.3984 0.0001  1 V 1.94, 2 Ti 1.97
O 0.0051 0.1032 0.9999  2 Ti 1.91-1.95, 1 V 2.05
O 0.4999 0.3532 0.5001  2 Ti 1.91-1.95, 1 V 2.05
O 0.9951 0.6032 0.0000  2 Ti 1.91-1.94, 1 V 2.05
O 0.5095 0.8532 0.5000  2 Ti 1.91-1.94, 1 V 2.05